Material: Er2Ga5Co2Rh
Method: DFT, PBE
State: optimized geometry

a = 9.059 Å, b = 9.059 Å, c = 3.974 Å
α = 90.00°, β = 90.00°, γ = 90.00°
Space group P4/mbm (No. 127)
Inequivalent atoms, fractional coordinates:
Er 0.181 0.319 0.000
Ga 0.000 0.500 0.500
Ga 0.060 0.796 0.500
Co 0.114 0.614 0.000
Rh 0.000 0.000 0.000

Results
V ... 16.31 A^3/atom
ΔH_f (0 K) ... -440.3 kJ/mol of formula units

=====

Material: ErGaCoRu
Method: DFT, PBE
State: optimized geometry

a = 6.296 Å, b = 6.296 Å, c = 6.296 Å
α = 90.00°, β = 90.00°, γ = 90.00°
Space group F-43m (No. 216)
Inequivalent atoms, fractional coordinates:
Er 0.000 0.000 0.000
Ga 0.000 0.000 0.500
Co 0.250 0.250 0.750
Ru 0.250 0.250 0.250

Results
V ... 15.60 A^3/atom
ΔH_f (0 K) ... -105.5 kJ/mol of formula units

=====

Material: Er2Ga4Co3Ru
Method: DFT, PBE
State: optimized geometry

a = 4.024 Å, b = 4.024 Å, c = 10.127 Å
α = 90.00°, β = 90.00°, γ = 90.00°
Space group P-4m2 (No. 115)
Inequivalent atoms, fractional coordinates:
Er 0.000 0.500 0.249
Ga 0.000 0.000 0.500
Ga 0.000 0.500 0.862
Ga 0.500 0.500 0.500
Co 0.000 0.000 0.000
Co 0.000 0.500 0.631
Ru 0.500 0.500 0.000

Results
V ... 16.40 A^3/atom
ΔH_f (0 K) ... -379.5 kJ/mol of formula units

=====

Material: Er2Ga5Co2Ru
Method: DFT, PBE
State: optimized geometry

a = 9.026 Å, b = 9.026 Å, c = 3.974 Å
α = 90.00°, β = 90.00°, γ = 90.00°
Space group P4/mbm (No. 127)
Inequivalent atoms, fractional coordinates:
Er 0.180 0.320 0.000
Ga 0.000 0.500 0.500
Ga 0.060 0.797 0.500
Co 0.115 0.615 0.000
Ru 0.000 0.000 0.000

Results
V ... 16.19 A^3/atom
ΔH_f (0 K) ... -371.7 kJ/mol of formula units

=====

Material: Er2Ga5CoRu2
Method: DFT, PBE
State: optimized geometry

a = 10.376 Å, b = 10.376 Å, c = 3.146 Å
α = 90.00°, β = 90.00°, γ = 90.00°
Space group P4/mbm (No. 127)
Inequivalent atoms, fractional coordinates:
Er 0.180 0.320 0.000
Ga 0.000 0.500 0.500
Ga 0.055 0.816 0.500
Co 0.000 0.000 0.000
Ru 0.131 0.631 0.000

Results
V ... 16.94 A^3/atom
ΔH_f (0 K) ... -347.1 kJ/mol of formula units

=====

Material: Er3GaCoS7
Method: DFT, PBE
State: optimized geometry

a = 9.4575 Å, b = 9.4575 Å, c = 6.1502 Å
α = 90.00°, β = 90.00°, γ = 120.00°
Space group P6_3 (No. 173)
Inequivalent atoms, fractional coordinates:
Er 0.1565 0.3740 0.0000
Ga 0.3333 0.6667 0.4272
Co 0.0000 0.0000 0.3447
S 0.0843 0.5654 0.2675
S 0.0981 0.2243 0.5992
S 0.3333 0.6667 0.7941

Results
V ... 19.85 A^3/atom
ΔE_f (raw) ... -1.449 eV/atom

=====

Material: ErScGaCo
Method: DFT, PBE
State: optimized geometry

a = 6.697 Å, b = 6.697 Å, c = 6.697 Å
α = 90.00°, β = 90.00°, γ = 90.00°
Space group F-43m (No. 216)
Inequivalent atoms, fractional coordinates:
Er 0.000 0.000 0.000
Sc 0.000 0.000 0.500
Ga 0.250 0.250 0.750
Co 0.250 0.250 0.250

Results
V ... 18.77 A^3/atom
ΔH_f (0 K) ... -147.2 kJ/mol of formula units

=====

Material: ErGa2Co2Si
Method: DFT, PBE
State: optimized geometry

a = 4.232 Å, b = 4.232 Å, c = 5.475 Å
α = 90.00°, β = 90.00°, γ = 90.00°
Space group P4/mmm (No. 123)
Inequivalent atoms, fractional coordinates:
Er 0.000 0.000 0.000
Ga 0.500 0.500 0.237
Co 0.000 0.500 0.500
Si 0.000 0.000 0.500

Results
V ... 16.34 A^3/atom
ΔE_f (raw) ... -0.321 eV/atom